No. 1
Computed, not measured: a relaxed structure of HfScBeIr at the PBE level of DFT.

```
HfScBeIr
1.0
0.000 3.220 3.220
3.220 0.000 3.220
3.220 3.220 0.000
Be Hf Ir Sc
1 1 1 1
Direct
0.750 0.750 0.750
0.000 0.000 0.000
0.250 0.250 0.250
0.500 0.500 0.500
```

Calculated values
The value obtained for the energy above the most stable polymorph in this dataset is 0.0 meV/atom. The volume is 16.69 Å³ per atom.

=====

No. 2
Computed, not measured: a relaxed structure of Li4Al2ZnAu at the PBE level of DFT.

```
Li4Al2ZnAu
1.0
4.369 0.000 0.000
0.000 4.369 0.000
0.000 0.000 6.172
Al Au Li Zn
2 1 4 1
Direct
0.000 0.500 0.245
0.500 0.000 0.755
0.500 0.500 0.000
0.000 0.000 0.000
0.500 0.000 0.252
0.500 0.500 0.500
0.000 0.500 0.748
0.000 0.000 0.500
```

Calculated values
Its total DFT energy (no corrections) is -2.825 eV/atom. The volume is 14.72 Å³ per atom.

=====

No. 3
Computed, not measured: a relaxed structure of HfCdCuSn at the PBE level of DFT.

```
HfCdCuSn
1.0
2.779 -2.042 3.378
-1.892 -3.220 3.060
1.199 -4.663 -0.356
Cd Cu Hf Sn
1 1 1 1
Direct
0.250 0.250 0.250
0.750 0.750 0.750
0.500 0.500 0.500
0.000 0.000 0.000
```

Calculated values
The value obtained for the energy above the most stable polymorph in this dataset is 63.3 meV/atom. The volume is 19.89 Å³ per atom.

=====

No. 4
Computed, not measured: a relaxed structure of Pr2Tl8Pt at the PBE level of DFT.

```
Pr2Tl8Pt
1.0
4.822 0.000 0.000
0.000 4.822 0.000
0.000 0.000 12.505
Pr Pt Tl
2 1 8
Direct
0.000 0.000 0.307
0.000 0.000 0.693
0.000 0.000 0.000
0.500 0.000 0.126
0.000 0.500 0.126
0.500 0.500 0.315
0.500 0.000 0.500
0.000 0.500 0.500
0.500 0.500 0.685
0.500 0.000 0.874
0.000 0.500 0.874
```

Calculated values
Its total DFT energy (no corrections) is -3.391 eV/atom. The volume is 26.43 Å³ per atom.

=====

No. 5
Computed, not measured: a relaxed structure of Rb2PtI6 at the PBE level of DFT.

```
Rb2PtI6
1.0
-1.375 -7.487 2.179
-0.480 -2.128 -7.612
11.815 -2.207 -0.128
I Pt Rb
12 2 4
Direct
0.724 0.204 0.000
0.204 0.276 0.000
0.796 0.724 0.000
0.276 0.796 0.000
0.000 0.000 0.225
0.500 0.500 0.275
0.704 0.224 0.500
0.224 0.296 0.500
0.776 0.704 0.500
0.296 0.776 0.500
0.500 0.500 0.725
0.000 0.000 0.775
0.000 0.000 0.000
0.500 0.500 0.500
0.500 0.000 0.250
0.000 0.500 0.250
0.500 0.000 0.750
0.000 0.500 0.750
```

Calculated values
Its total DFT energy (no corrections) is -2.687 eV/atom. The volume is 41.87 Å³ per atom.

=====

No. 6
Computed, not measured: a relaxed structure of Gd2YMg3Tl2Hg at the PBE level of DFT.

```
Gd2YMg3Tl2Hg
1.0
-0.239 -2.612 3.803
-3.021 -5.612 -4.045
7.495 0.453 0.783
Gd Hg Mg Tl Y
2 1 3 2 1
Direct
0.000 0.420 0.000
0.000 0.000 0.420
0.000 0.999 0.999
0.500 0.238 0.238
0.500 0.000 0.761
0.500 0.761 0.000
0.500 0.666 0.334
0.500 0.334 0.666
0.000 0.581 0.581
```

Calculated values
Its total DFT energy (no corrections) is -3.219 eV/atom. The volume is 25.37 Å³ per atom.

=====

No. 7
Computed, not measured: a relaxed structure of ZrZn at the PBE level of DFT.

```
ZrZn
1.0
2.306 3.995 0.000
-6.599 6.473 0.000
0.000 0.000 4.548
Zn Zr
5 5
Direct
0.863 0.422 0.000
0.277 0.600 0.000
0.684 0.778 0.000
0.382 0.422 0.500
0.204 0.778 0.500
0.467 0.225 0.000
0.092 0.975 0.000
0.978 0.215 0.500
0.794 0.600 0.500
0.593 0.985 0.500
```

Calculated values
Its total DFT energy (no corrections) is -5.083 eV/atom. The volume is 18.78 Å³ per atom.

=====

No. 8
Computed, not measured: a relaxed structure of LaDyGe4Os2 at the PBE level of DFT.

```
LaDyGe4Os2
1.0
-4.494 -0.223 -0.338
0.260 -4.409 -0.546
1.533 -0.928 8.219
Dy Ge La Os
1 4 1 2
Direct
0.621 0.500 0.714
0.676 0.000 0.001
0.958 0.500 0.412
0.044 0.000 0.590
0.318 0.500 0.992
0.391 0.000 0.295
0.886 0.500 0.114
0.108 0.000 0.882
```

Calculated values
Its total DFT energy (no corrections) is -6.808 eV/atom. The volume is 20.45 Å³ per atom.